Entry from Alexandria: a geometry-optimized Pr10Y4Er structure (GGA-PBE).

abc: 7.900 9.669 9.669
angles: 80.39 65.89 65.89
Element x y z (fractional)
Pr: 0.250 0.500 0.500
Pr: 0.652 0.298 0.900
Pr: 0.552 0.100 0.298
Pr: 0.348 0.702 0.100
Pr: 0.150 0.298 0.900
Pr: 0.950 0.900 0.702
Pr: 0.050 0.100 0.298
Pr: 0.448 0.900 0.702
Pr: 0.850 0.702 0.100
Pr: 0.750 0.500 0.500
Y: 0.200 0.400 0.199
Y: 0.400 0.801 0.400
Y: 0.600 0.199 0.600
Y: 0.800 0.600 0.801
Er: 0.000 0.000 0.000

Values from the calculation:
Its crystal system is tetragonal. The value obtained for the formation energy from the elements is 0.697 eV/atom. The density of states at the Fermi level comes out at 23.5 states/eV per cell. The calculation puts the energy at -67.75 eV per cell.